This record from Alexandria via LeMat-Bulk describes a relaxed structure of AlCdMo2. The functional is GGA-PBEsol.

abc: 5.197 5.197 2.728
angles: 96.82 96.82 117.05
Fractional positions:
Al (0.000, 0.000, 0.000)
Cd (0.500, 0.500, 0.000)
Mo (0.000, 0.500, 0.500)
Mo (0.500, 0.000, 0.500)

Output
energy relative to the lowest polymorph listed for this composition	0.1153	eV/atom
E_form	0.22	eV/atom
crystal system	monoclinic

---

This record from Alexandria via LeMat-Bulk describes a relaxed structure of Al2Cu2Bi2S3Cl8. The functional is GGA-PBEsol.

abc: 6.507 6.507 23.217
angles: 90.00 90.00 120.00
Fractional positions:
Al (0.333, 0.667, 0.079)
Al (0.333, 0.667, 0.421)
Al (0.667, 0.333, 0.579)
Al (0.667, 0.333, 0.921)
Cu (0.000, 0.000, 0.250)
Cu (0.000, 0.000, 0.750)
Cu (0.333, 0.667, 0.250)
Cu (0.667, 0.333, 0.750)
Bi (0.333, 0.667, 0.676)
Bi (0.333, 0.667, 0.824)
Bi (0.667, 0.333, 0.176)
Bi (0.667, 0.333, 0.324)
S (0.017, 0.667, 0.750)
S (0.333, 0.349, 0.750)
S (0.349, 0.017, 0.250)
S (0.651, 0.983, 0.750)
S (0.667, 0.651, 0.250)
S (0.983, 0.333, 0.250)
Cl (0.075, 0.747, 0.116)
Cl (0.075, 0.747, 0.384)
Cl (0.253, 0.328, 0.116)
Cl (0.253, 0.328, 0.384)
Cl (0.328, 0.075, 0.616)
Cl (0.328, 0.075, 0.884)
Cl (0.333, 0.667, 0.511)
Cl (0.333, 0.667, 0.989)
Cl (0.667, 0.333, 0.011)
Cl (0.667, 0.333, 0.489)
Cl (0.672, 0.925, 0.116)
Cl (0.672, 0.925, 0.384)
Cl (0.747, 0.672, 0.616)
Cl (0.747, 0.672, 0.884)
Cl (0.925, 0.253, 0.616)
Cl (0.925, 0.253, 0.884)

Output
E_form (uncorrected)	-0.96	eV/atom
crystal system	hexagonal

---

This record from Alexandria via LeMat-Bulk describes a relaxed structure of AsP5. The functional is GGA-PBEsol.

abc: 5.028 5.028 5.028
angles: 60.00 60.00 60.00
Fractional positions:
As (0.000, 0.000, 0.000)
P (0.378, 0.378, 0.378)
P (0.378, 0.378, 0.865)
P (0.378, 0.865, 0.378)
P (0.750, 0.750, 0.750)
P (0.865, 0.378, 0.378)

Output
energy relative to the lowest polymorph listed for this composition	0.6984	eV/atom
E_form	0.76	eV/atom
crystal system	cubic

---

This record from Alexandria via LeMat-Bulk describes a relaxed structure of Ca3Si3Bi2O12. The functional is GGA-PBEsol.

abc: 10.989 10.989 10.989
angles: 109.47 109.47 109.47
Fractional positions:
Ca (0.125, 0.250, 0.375)
Ca (0.125, 0.375, 0.750)
Ca (0.250, 0.375, 0.125)
Ca (0.250, 0.875, 0.625)
Ca (0.375, 0.125, 0.250)
Ca (0.375, 0.750, 0.125)
Ca (0.625, 0.250, 0.875)
Ca (0.625, 0.875, 0.750)
Ca (0.750, 0.125, 0.375)
Ca (0.750, 0.625, 0.875)
Ca (0.875, 0.625, 0.250)
Ca (0.875, 0.750, 0.625)
Si (0.125, 0.750, 0.875)
Si (0.125, 0.875, 0.250)
Si (0.250, 0.125, 0.875)
Si (0.250, 0.625, 0.375)
Si (0.375, 0.250, 0.625)
Si (0.375, 0.625, 0.750)
Si (0.625, 0.375, 0.250)
Si (0.625, 0.750, 0.375)
Si (0.750, 0.375, 0.625)
Si (0.750, 0.875, 0.125)
Si (0.875, 0.125, 0.750)
Si (0.875, 0.250, 0.125)
Bi (0.000, 0.000, 0.000)
Bi (0.000, 0.000, 0.500)
Bi (0.000, 0.500, 0.000)
Bi (0.000, 0.500, 0.500)
Bi (0.500, 0.000, 0.000)
Bi (0.500, 0.000, 0.500)
Bi (0.500, 0.500, 0.000)
Bi (0.500, 0.500, 0.500)
O (0.018, 0.228, 0.127)
O (0.018, 0.290, 0.891)
O (0.101, 0.728, 0.710)
O (0.101, 0.873, 0.391)
O (0.109, 0.627, 0.399)
O (0.109, 0.982, 0.710)
O (0.127, 0.018, 0.228)
O (0.127, 0.609, 0.899)
O (0.210, 0.228, 0.601)
O (0.210, 0.482, 0.609)
O (0.228, 0.127, 0.018)
O (0.228, 0.601, 0.210)
O (0.272, 0.290, 0.899)
O (0.272, 0.482, 0.373)
O (0.290, 0.891, 0.018)
O (0.290, 0.899, 0.272)
O (0.373, 0.272, 0.482)
O (0.373, 0.601, 0.891)
O (0.391, 0.101, 0.873)
O (0.391, 0.790, 0.518)
O (0.399, 0.109, 0.627)
O (0.399, 0.790, 0.772)
O (0.482, 0.373, 0.272)
O (0.482, 0.609, 0.210)
O (0.518, 0.391, 0.790)
O (0.518, 0.627, 0.728)
O (0.601, 0.210, 0.228)
O (0.601, 0.891, 0.373)
O (0.609, 0.210, 0.482)
O (0.609, 0.899, 0.127)
O (0.627, 0.399, 0.109)
O (0.627, 0.728, 0.518)
O (0.710, 0.101, 0.728)
O (0.710, 0.109, 0.982)
O (0.728, 0.518, 0.627)
O (0.728, 0.710, 0.101)
O (0.772, 0.399, 0.790)
O (0.772, 0.873, 0.982)
O (0.790, 0.518, 0.391)
O (0.790, 0.772, 0.399)
O (0.873, 0.391, 0.101)
O (0.873, 0.982, 0.772)
O (0.891, 0.018, 0.290)
O (0.891, 0.373, 0.601)
O (0.899, 0.127, 0.609)
O (0.899, 0.272, 0.290)
O (0.982, 0.710, 0.109)
O (0.982, 0.772, 0.873)

Output
E_form (uncorrected)	-2.55	eV/atom
crystal system	cubic

---

This record from Alexandria via LeMat-Bulk describes a relaxed structure of NiAg2Pt. The functional is GGA-PBEsol.

abc: 2.758 2.758 7.685
angles: 90.00 90.00 90.00
Fractional positions:
Ni (0.000, 0.000, 0.000)
Ag (0.000, 0.000, 0.485)
Ag (0.500, 0.500, 0.762)
Pt (0.500, 0.500, 0.214)

Output
E_form	0.05	eV/atom
crystal system	tetragonal

---

This record from Alexandria via LeMat-Bulk describes a relaxed structure of MnBi3Pb. The functional is GGA-PBEsol.

abc: 5.795 5.795 5.795
angles: 90.00 90.00 90.00
Fractional positions:
Mn (0.000, 0.000, 0.000)
Bi (0.000, 0.500, 0.500)
Bi (0.500, 0.000, 0.500)
Bi (0.500, 0.500, 0.000)
Pb (0.500, 0.500, 0.500)

Output
E_form	1.32	eV/atom
crystal system	cubic

---

This record from Alexandria via LeMat-Bulk describes a relaxed structure of TlSiPb. The functional is GGA-PBEsol.

abc: 4.944 4.944 4.944
angles: 60.00 60.00 60.00
Fractional positions:
Tl (0.000, 0.000, 0.000)
Si (0.250, 0.250, 0.250)
Pb (0.750, 0.750, 0.750)

Output
energy relative to the lowest polymorph listed for this composition	0.2643	eV/atom
E_form (uncorrected)	0.59	eV/atom
crystal system	cubic

---

This record from Alexandria via LeMat-Bulk describes a relaxed structure of ScNiOs2. The functional is GGA-PBEsol.

abc: 2.759 4.452 4.719
angles: 90.00 97.02 90.00
Fractional positions:
Sc (0.000, 0.000, 0.000)
Ni (0.500, 0.000, 0.500)
Os (0.307, 0.500, 0.736)
Os (0.693, 0.500, 0.264)

Output
energy relative to the lowest polymorph listed for this composition	0.0000	eV/atom
E_form	0.05	eV/atom
crystal system	monoclinic